[1]
## Er2CuS4 (PBE)

Data for a geometry-optimized Er2CuS4 structure.

Summary:
- uncorrected formation energy (eV/atom) = -1.4413
- SG = P2_1/m, No. 11

Cell and atoms, written as POSCAR:
```
Er2CuS4
1.0
-5.299 -3.345 2.157
2.200 -4.717 -1.911
5.077 0.039 5.745
S Er Cu
8 4 2
direct
0.065 0.750 0.887 S
0.933 0.250 0.605 S
0.067 0.750 0.395 S
0.482 0.513 0.744 S
0.518 0.487 0.256 S
0.518 0.013 0.256 S
0.935 0.250 0.113 S
0.482 0.987 0.744 S
0.235 0.250 0.436 Er
0.234 0.250 0.931 Er
0.765 0.750 0.564 Er
0.766 0.750 0.069 Er
0.753 0.250 0.815 Cu
0.247 0.750 0.185 Cu
```

[2]
## ZrAlSi4 (PBE)

Data for a geometry-optimized ZrAlSi4 structure.

Summary:
- uncorrected formation energy (eV/atom) = -0.0113
- SG = Cmcm, No. 63

Cell and atoms, written as POSCAR:
```
ZrAlSi4
1.0
10.939 0.000 0.000
-10.385 3.435 0.000
0.000 0.000 5.395
Si Al Zr
8 2 2
direct
0.572 0.428 0.750 Si
0.838 0.162 0.027 Si
0.838 0.162 0.473 Si
0.000 0.000 0.000 Si
0.162 0.838 0.527 Si
0.000 0.000 0.500 Si
0.162 0.838 0.973 Si
0.428 0.572 0.250 Si
0.740 0.260 0.750 Al
0.260 0.740 0.250 Al
0.586 0.414 0.250 Zr
0.414 0.586 0.750 Zr
```

[3]
## Ba2Hg8Au (PBE)

Data for a geometry-optimized Ba2Hg8Au structure.

Summary:
- SG = P-1, No. 2
- calculated formation energy (eV per atom) = -0.342

Cell and atoms, written as POSCAR:
```
Ba2Hg8Au
1.0
5.231 -0.066 -2.215
-1.027 6.018 -4.487
-1.193 -1.015 11.660
Hg Ba Au
8 2 1
direct
0.696 0.187 0.426 Hg
0.084 0.251 0.284 Hg
0.983 0.817 0.248 Hg
0.017 0.183 0.752 Hg
0.916 0.749 0.716 Hg
0.304 0.813 0.574 Hg
0.763 0.256 0.966 Hg
0.237 0.744 0.034 Hg
0.548 0.573 0.288 Ba
0.452 0.427 0.712 Ba
0.500 0.000 0.000 Au
```

[4]
## TiCr3 (PBE)

Data for a geometry-optimized TiCr3 structure.

Summary:
- SG = Pmm2, No. 25
- calculated formation energy (eV per atom) = 0.302

Cell and atoms, written as POSCAR:
```
TiCr3
1.0
2.354 0.000 0.000
0.000 4.268 0.000
0.000 0.000 5.127
Cr Ti
3 1
direct
0.500 0.500 0.799 Cr
0.500 0.000 0.542 Cr
0.000 0.000 0.024 Cr
0.000 0.500 0.301 Ti
```

[5]
## BeTcOs2 (PBE)

Data for a geometry-optimized BeTcOs2 structure.

Summary:
- SG = P4/mmm, No. 123
- calculated formation energy (eV per atom) = -0.072

Cell and atoms, written as POSCAR:
```
BeTcOs2
1.0
2.787 0.000 0.000
0.000 2.787 0.000
0.000 0.000 6.550
Os Be Tc
2 1 1
direct
0.000 0.000 0.534 Os
0.000 0.000 0.966 Os
0.500 0.500 0.750 Be
0.500 0.500 0.250 Tc
```

[6]
## BiPbAuBr2 (PBE)

Data for a geometry-optimized BiPbAuBr2 structure.

Summary:
- uncorrected formation energy (eV/atom) = 0.3238
- SG = P4/mmm, No. 123

Cell and atoms, written as POSCAR:
```
BiPbAuBr2
1.0
-4.178 -2.152 2.987
-0.040 -5.155 -3.769
3.681 -2.485 3.359
Br Au Pb Bi
2 1 1 1
direct
0.000 0.000 0.500 Br
0.500 0.000 0.000 Br
0.500 0.500 0.500 Au
0.000 0.000 0.000 Pb
0.000 0.500 0.000 Bi
```

no.,total moment (μB/f.u.)
1,0.00
2,0.00
3,0.00
4,0.00
5,0.00
6,0.80